A relaxed BeNiF2 crystal, computed with PBE with a Hubbard U.

Properties
As for the total energy: -15.2 eV/cell. As for the density: 3.0 g cm⁻³. Its density of states at the Fermi level is 0.17 states/eV/atom.

extended XYZ file:
```
4
Lattice="1.416 0.817 8.428 -1.416 0.817 8.428 0.000 -1.635 8.428" Properties=species:S:1:pos:R:3 pbc="T T T"
Be 0.000 0.000 0.000
Ni 0.000 0.000 12.643
F 0.000 0.000 1.384
F 0.000 0.000 23.901
```